No. 1
Here is a relaxed structure of CsSr3B from Alexandria via LeMat-Bulk. Energies are from PBE.

Calculated values
ΔE_f = 210 kJ/mol of formula units
V = 226 Å³/f.u.
DFT total energy = -10.4 eV/cell

abc: 6.091 6.091 6.091
angles: 90.00 90.00 90.00
Space group Pm-3m (No. 221)
Symmetry-distinct sites (fractional):
Cs  0.000  0.000  0.000 x1
Sr  0.000  0.500  0.500 x3
B  0.500  0.500  0.500 x1

=====

No. 2
Here is a relaxed structure of Ca2Zn2In from Alexandria via LeMat-Bulk. Energies are from PBE.

Calculated values
ΔE_f = -152 kJ/mol of formula units
V = 127 Å³/f.u.
DFT total energy = -43.5 eV/cell

abc: 11.478 4.551 10.964
angles: 90.00 117.27 90.00
Space group C2/m (No. 12)
Symmetry-distinct sites (fractional):
Ca  0.003  0.000  0.329 x4
Ca  0.190  0.000  0.106 x4
Zn  0.018  0.500  0.890 x4
Zn  0.126  0.500  0.560 x4
In  0.224  0.500  0.355 x4

=====

No. 3
Here is a relaxed structure of KAgF3 from Alexandria via LeMat-Bulk. Energies are from PBE.

Calculated values
V = 112 Å³/f.u.
DFT total energy = -17.2 eV/cell

abc: 4.235 4.235 6.233
angles: 90.00 90.00 90.00
Space group P4mm (No. 99)
Symmetry-distinct sites (fractional):
K  0.000  0.000  0.000 x1
Ag  0.500  0.500  0.334 x1
F  0.000  0.000  0.611 x1
F  0.000  0.500  0.249 x2

=====

No. 4
Here is a relaxed structure of Mg2Cl3O2 from Alexandria via LeMat-Bulk. Energies are from PBE.

Calculated values
V = 140 Å³/f.u.
DFT total energy = -28.5 eV/cell

abc: 3.716 6.353 6.566
angles: 72.06 89.89 73.02
Space group P-1 (No. 2)
Symmetry-distinct sites (fractional):
Mg  0.119  0.264  0.359 x2
Cl  0.268  0.961  0.728 x2
Cl  0.500  0.500  0.500 x1
O  0.018  0.459  0.916 x2

=====

No. 5
Here is a relaxed structure of LaCr2Mo from Alexandria via LeMat-Bulk. Energies are from PBE.

Calculated values
ΔE_f = 165 kJ/mol of formula units
V = 74 Å³/f.u.
DFT total energy = -33.3 eV/cell

abc: 3.148 3.148 7.508
angles: 90.00 90.00 90.00
Space group P4/mmm (No. 123)
Symmetry-distinct sites (fractional):
La  0.000  0.000  0.000 x1
Cr  0.500  0.500  0.315 x2
Mo  0.000  0.000  0.500 x1

=====

No. 6
Here is a relaxed structure of LaCoSb from Alexandria via LeMat-Bulk. Energies are from PBE.

Calculated values
V = 66 Å³/f.u.
DFT total energy = -33.8 eV/cell

abc: 3.365 3.365 11.581
angles: 90.00 90.00 90.00
Space group I4mm (No. 107)
Symmetry-distinct sites (fractional):
La  0.000  0.000  0.000 x2
Co  0.000  0.000  0.677 x2
Sb  0.000  0.000  0.282 x2

=====

No. 7
Here is a relaxed structure of BeTcPt2 from Alexandria via LeMat-Bulk. Energies are from PBE.

Calculated values
ΔE_f = -43 kJ/mol of formula units
V = 56 Å³/f.u.
DFT total energy = -53.2 eV/cell

abc: 3.850 3.850 7.505
angles: 90.00 90.00 90.00
Space group I-4m2 (No. 119)
Symmetry-distinct sites (fractional):
Be  0.000  0.000  0.000 x2
Tc  0.000  0.500  0.250 x2
Pt  0.000  0.000  0.500 x2
Pt  0.000  0.500  0.750 x2

=====

No. 8
Here is a relaxed structure of Cd2GaRuO6 from Alexandria via LeMat-Bulk. Energies are from PBE.

Calculated values
V = 134 Å³/f.u.
DFT total energy = -53.2 eV/cell

abc: 5.270 5.270 4.806
angles: 90.00 90.00 90.00
Space group P4mm (No. 99)
Symmetry-distinct sites (fractional):
Cd  0.000  0.500  0.000 x2
Ga  0.000  0.000  0.554 x1
Ru  0.500  0.500  0.586 x1
O  0.000  0.000  0.173 x1
O  0.249  0.249  0.693 x4
O  0.500  0.500  0.206 x1

=====

No. 9
Here is a relaxed structure of Sc2SbPt from Alexandria via LeMat-Bulk. Energies are from PBE.

Calculated values
V = 82 Å³/f.u.
DFT total energy = -52.9 eV/cell

abc: 3.657 4.348 10.350
angles: 90.00 90.00 90.00
Space group Imm2 (No. 44)
Symmetry-distinct sites (fractional):
Sc  0.000  0.000  0.000 x2
Sc  0.000  0.500  0.224 x2
Sb  0.000  0.000  0.445 x2
Pt  0.000  0.500  0.724 x2

=====

No. 10
Here is a relaxed structure of Pm2AgPt2 from Alexandria via LeMat-Bulk. Energies are from PBE.

Calculated values
ΔE_f = -446 kJ/mol of formula units
V = 116 Å³/f.u.
DFT total energy = -58.1 eV/cell

abc: 7.808 7.808 3.804
angles: 90.00 90.00 90.00
Space group P4/mbm (No. 127)
Symmetry-distinct sites (fractional):
Pm  0.169  0.331  0.000 x4
Ag  0.000  0.000  0.500 x2
Pt  0.132  0.632  0.500 x4

=====

No. 11
Here is a relaxed structure of Pt2C from Alexandria via LeMat-Bulk. Energies are from PBE.

Calculated values
ΔE_f = 173 kJ/mol of formula units
V = 39 Å³/f.u.
DFT total energy = -39.0 eV/cell

abc: 3.0126 3.0126 9.8695
angles: 90.00 90.00 120.00
Space group P6_3/mmc (No. 194)
Symmetry-distinct sites (fractional):
Pt  0.3333  0.6667  0.1175 x4
C  0.0000  0.0000  0.2500 x2

=====

No. 12
Here is a relaxed structure of Ba2LiAu2 from Alexandria via LeMat-Bulk. Energies are from PBE.

Calculated values
ΔE_f = -290 kJ/mol of formula units
V = 155 Å³/f.u.
DFT total energy = -61.3 eV/cell

abc: 12.478 4.673 12.101
angles: 90.00 118.74 90.00
Space group C2/m (No. 12)
Symmetry-distinct sites (fractional):
Ba  0.004  0.000  0.336 x4
Ba  0.184  0.000  0.109 x4
Li  0.222  0.500  0.379 x4
Au  0.013  0.500  0.879 x4
Au  0.151  0.500  0.570 x4

=====

No. 13
Here is a relaxed structure of FeMo2As from Alexandria via LeMat-Bulk. Energies are from PBE.

Calculated values
ΔE_f = 41 kJ/mol of formula units
V = 57 Å³/f.u.
DFT total energy = -68.7 eV/cell

abc: 3.314 4.108 8.366
angles: 90.00 90.00 90.00
Space group Immm (No. 71)
Symmetry-distinct sites (fractional):
Fe  0.000  0.000  0.000 x2
Mo  0.000  0.500  0.247 x4
As  0.000  0.000  0.500 x2

=====

No. 14
Here is a relaxed structure of MgAg3H from Alexandria via LeMat-Bulk. Energies are from PBE.

Calculated values
V = 76 Å³/f.u.
DFT total energy = -13.2 eV/cell

abc: 4.228 4.228 4.228
angles: 90.00 90.00 90.00
Space group Pm-3m (No. 221)
Symmetry-distinct sites (fractional):
Mg  0.000  0.000  0.000 x1
Ag  0.000  0.500  0.500 x3
H  0.500  0.500  0.500 x1

=====

No. 15
Here is a relaxed structure of BeReTe from Alexandria via LeMat-Bulk. Energies are from PBE.

Calculated values
V = 46 Å³/f.u.
DFT total energy = -35.8 eV/cell

abc: 3.267 3.267 8.634
angles: 90.00 90.00 90.00
Space group I4mm (No. 107)
Symmetry-distinct sites (fractional):
Be  0.000  0.000  0.000 x2
Re  0.000  0.000  0.616 x2
Te  0.000  0.000  0.307 x2

=====

No. 16
Here is a relaxed structure of Zr2Be2Nb from Alexandria via LeMat-Bulk. Energies are from PBE.

Calculated values
ΔE_f = -8 kJ/mol of formula units
V = 82 Å³/f.u.
DFT total energy = -69.4 eV/cell

abc: 7.162 7.162 3.214
angles: 90.00 90.00 90.00
Space group P4/mbm (No. 127)
Symmetry-distinct sites (fractional):
Zr  0.181  0.319  0.000 x4
Be  0.111  0.611  0.500 x4
Nb  0.000  0.000  0.500 x2

=====

No. 17
Here is a relaxed structure of Ca2IrCBr from Alexandria via LeMat-Bulk. Energies are from PBE.

Calculated values
V = 107 Å³/f.u.
DFT total energy = -27.3 eV/cell

abc: 5.280 5.280 3.848
angles: 90.00 90.00 90.00
Space group P4/mmm (No. 123)
Symmetry-distinct sites (fractional):
Ca  0.000  0.500  0.000 x2
Ir  0.000  0.000  0.500 x1
C  0.000  0.000  0.000 x1
Br  0.500  0.500  0.500 x1

=====

No. 18
Here is a relaxed structure of PmClF from Alexandria via LeMat-Bulk. Energies are from PBE.

Calculated values
V = 63 Å³/f.u.
DFT total energy = -33.2 eV/cell

abc: 3.894 5.297 6.112
angles: 90.00 90.00 90.00
Space group Pmm2 (No. 25)
Symmetry-distinct sites (fractional):
Pm  0.000  0.000  0.000 x1
Pm  0.500  0.500  0.402 x1
Cl  0.000  0.500  0.766 x1
Cl  0.500  0.000  0.626 x1
F  0.500  0.235  0.099 x2

=====

No. 19
Here is a relaxed structure of CaAg2SO6 from Alexandria via LeMat-Bulk. Energies are from PBE.

Calculated values
V = 163 Å³/f.u.
DFT total energy = -49.4 eV/cell

abc: 5.6713 5.6713 5.8678
angles: 90.00 90.00 120.00
Space group P-3m1 (No. 164)
Symmetry-distinct sites (fractional):
Ca  0.0000  0.0000  0.0000 x1
Ag  0.3333  0.6667  0.4667 x2
S  0.0000  0.0000  0.5000 x1
O  0.1370  0.2741  0.6701 x6

=====

No. 20
Here is a relaxed structure of Re4Ru from Alexandria via LeMat-Bulk. Energies are from PBE.

Calculated values
ΔE_f = 827 kJ/mol of formula units
V = 92 Å³/f.u.
DFT total energy = -101.0 eV/cell

abc: 5.688 5.688 5.688
angles: 90.00 90.00 90.00
Space group Im-3m (No. 229)
Symmetry-distinct sites (fractional):
Re  0.250  0.250  0.250 x8
Ru  0.000  0.000  0.000 x2

=====

No. 21
Here is a relaxed structure of KSiTc from Alexandria via LeMat-Bulk. Energies are from PBE.

Calculated values
V = 59 Å³/f.u.
DFT total energy = -60.9 eV/cell

abc: 3.497 4.551 14.742
angles: 90.00 90.00 90.00
Space group Fmm2 (No. 42)
Symmetry-distinct sites (fractional):
K  0.000  0.000  0.000 x4
Si  0.000  0.000  0.313 x4
Tc  0.000  0.000  0.699 x4

=====

No. 22
Here is a relaxed structure of CaNd2PuO6 from Alexandria via LeMat-Bulk. Energies are from PBE.

Calculated values
V = 160 Å³/f.u.
DFT total energy = -261.4 eV/cell

abc: 6.0016 6.0016 15.3783
angles: 90.00 90.00 120.00
Space group R3 (No. 146, hexagonal axes)
Symmetry-distinct sites (fractional):
Ca  0.0000  0.0000  0.0000 x3
Nd  0.0000  0.0000  0.2759 x3
Nd  0.0000  0.0000  0.7800 x3
Pu  0.0000  0.0000  0.4937 x3
O  0.0479  0.3560  0.5591 x9
O  0.0587  0.6767  0.0640 x9

=====

No. 23
Here is a relaxed structure of Nd2ZnAu5 from Alexandria via LeMat-Bulk. Energies are from PBE.

Calculated values
ΔE_f = -385 kJ/mol of formula units
V = 181 Å³/f.u.
DFT total energy = -62.4 eV/cell

abc: 6.476 6.476 8.647
angles: 90.00 90.00 90.00
Space group I4mm (No. 107)
Symmetry-distinct sites (fractional):
Nd  0.000  0.500  0.000 x4
Zn  0.000  0.000  0.340 x2
Au  0.000  0.000  0.018 x2
Au  0.222  0.222  0.748 x8